[1]
La6Co2PI3 | GGA-PBE | relaxed

Geometry as POSCAR:
```
La6Co2PI3
1.0
7.416 -0.129 0.024
-3.818 6.359 0.024
-1.174 -2.033 8.070
La Co P I
6 2 1 3
direct
0.919 0.576 0.820 La
0.724 0.724 0.193 La
0.081 0.424 0.180 La
0.576 0.919 0.820 La
0.276 0.276 0.807 La
0.424 0.081 0.180 La
0.334 0.666 0.000 Co
0.666 0.334 0.000 Co
0.000 0.000 0.000 P
0.167 0.833 0.500 I
0.833 0.167 0.500 I
0.500 0.500 0.500 I
```

Values from the calculation:
calculated density: 6.00 g/cm3



[2]
La8Co3PdI4 | GGA-PBE | relaxed

Geometry as POSCAR:
```
La8Co3PdI4
1.0
8.324 0.000 0.000
0.000 9.514 0.775
-4.162 -4.190 5.970
La Co Pd I
8 3 1 4
direct
0.239 0.683 0.952 La
0.236 0.682 0.472 La
0.269 0.316 0.538 La
0.713 0.683 0.952 La
0.287 0.317 0.048 La
0.731 0.684 0.462 La
0.764 0.318 0.528 La
0.761 0.317 0.048 La
0.500 0.500 0.000 Co
0.500 0.500 0.500 Co
0.000 0.500 0.500 Co
0.000 0.500 0.000 Pd
0.500 0.000 0.000 I
0.500 0.000 0.500 I
0.000 0.000 0.000 I
0.000 0.000 0.500 I
```

Values from the calculation:
calculated density: 6.32 g/cm3



[3]
La4CoPdI2 | GGA-PBE | relaxed

Geometry as POSCAR:
```
La4CoPdI2
1.0
4.234 0.000 0.000
0.000 7.363 0.142
0.000 -2.570 8.187
La Co Pd I
4 1 1 2
direct
0.500 0.248 0.186 La
0.500 0.752 0.814 La
0.000 0.285 0.815 La
0.000 0.715 0.185 La
0.500 0.500 0.000 Co
0.000 0.000 0.000 Pd
0.500 0.000 0.500 I
0.000 0.500 0.500 I
```

Values from the calculation:
calculated density: 6.30 g/cm3



[4]
La8CoPd3I4 | GGA-PBE | relaxed

Geometry as POSCAR:
```
La8CoPd3I4
1.0
-1.540 -7.135 4.506
-2.406 -4.595 -8.108
7.786 3.594 0.198
La Co Pd I
8 1 3 4
direct
0.221 0.687 0.966 La
0.221 0.687 0.442 La
0.270 0.310 0.540 La
0.746 0.687 0.966 La
0.254 0.313 0.034 La
0.730 0.690 0.460 La
0.779 0.313 0.558 La
0.779 0.313 0.034 La
0.000 0.500 0.000 Co
0.500 0.500 0.000 Pd
0.500 0.500 0.500 Pd
0.000 0.500 0.500 Pd
0.500 0.000 0.000 I
0.500 0.000 0.500 I
0.000 0.000 0.000 I
0.000 0.000 0.500 I
```

Values from the calculation:
calculated density: 6.31 g/cm3



[5]
La6Co2PtI3 | GGA-PBE | relaxed

Geometry as POSCAR:
```
La6Co2PtI3
1.0
-2.471 5.733 3.734
-1.213 -6.741 2.452
8.274 0.610 2.183
La Co Pt I
6 2 1 3
direct
0.938 0.590 0.817 La
0.713 0.713 0.183 La
0.062 0.410 0.183 La
0.590 0.938 0.817 La
0.287 0.287 0.817 La
0.410 0.062 0.183 La
0.333 0.667 0.000 Co
0.667 0.333 0.000 Co
0.000 0.000 0.000 Pt
0.166 0.834 0.500 I
0.834 0.166 0.500 I
0.500 0.500 0.500 I
```

Values from the calculation:
calculated density: 6.73 g/cm3



[6]
La6CoPt2I3 | GGA-PBE | relaxed

Geometry as POSCAR:
```
La6CoPt2I3
1.0
7.398 0.000 0.001
-3.697 6.408 0.001
-1.234 -2.136 8.221
La Co Pt I
6 1 2 3
direct
0.938 0.621 0.815 La
0.744 0.744 0.186 La
0.062 0.379 0.185 La
0.621 0.938 0.815 La
0.256 0.256 0.814 La
0.379 0.062 0.185 La
0.000 0.000 0.000 Co
0.333 0.667 0.000 Pt
0.667 0.333 0.000 Pt
0.167 0.833 0.500 I
0.833 0.167 0.500 I
0.500 0.500 0.500 I
```

Values from the calculation:
calculated density: 7.09 g/cm3



[7]
La8CoPt3I4 | GGA-PBE | relaxed

Geometry as POSCAR:
```
La8CoPt3I4
1.0
-4.064 4.954 -5.703
-8.313 -4.295 2.193
4.298 3.586 6.503
La Co Pt I
8 1 3 4
direct
0.222 0.685 0.964 La
0.222 0.685 0.445 La
0.270 0.312 0.541 La
0.742 0.685 0.964 La
0.258 0.315 0.036 La
0.730 0.688 0.459 La
0.778 0.315 0.555 La
0.778 0.315 0.036 La
0.000 0.500 0.000 Co
0.500 0.500 0.000 Pt
0.500 0.500 0.500 Pt
0.000 0.500 0.500 Pt
0.500 0.000 0.000 I
0.500 0.000 0.500 I
0.000 0.000 0.000 I
0.000 0.000 0.500 I
```

Values from the calculation:
calculated density: 7.16 g/cm3



[8]
Rb2La10Co2I17 | GGA-PBE | relaxed

Geometry as POSCAR:
```
Rb2La10Co2I17
1.0
11.959 -0.025 -0.051
-3.727 11.363 -0.051
0.525 0.723 9.849
I Co Rb La
17 2 2 10
direct
0.610 0.942 0.642 I
0.390 0.058 0.358 I
0.058 0.390 0.358 I
0.942 0.610 0.642 I
0.526 0.188 0.915 I
0.474 0.812 0.085 I
0.812 0.474 0.085 I
0.188 0.526 0.915 I
0.564 0.564 0.783 I
0.436 0.436 0.217 I
0.243 0.898 0.764 I
0.757 0.102 0.236 I
0.102 0.757 0.236 I
0.898 0.243 0.764 I
0.283 0.283 0.624 I
0.717 0.717 0.376 I
0.000 0.000 0.500 I
0.853 0.853 0.930 Co
0.147 0.147 0.070 Co
0.690 0.310 0.500 Rb
0.310 0.690 0.500 Rb
0.707 0.013 0.932 La
0.293 0.987 0.068 La
0.987 0.293 0.068 La
0.013 0.707 0.932 La
0.668 0.668 0.066 La
0.332 0.332 0.934 La
0.930 0.930 0.166 La
0.070 0.070 0.834 La
0.799 0.799 0.700 La
0.201 0.201 0.300 La
```

Values from the calculation:
calculated density: 4.76 g/cm3



[9]
La8Co3RhI4 | GGA-PBE | relaxed

Geometry as POSCAR:
```
La8Co3RhI4
1.0
-0.171 0.244 8.289
9.493 -0.882 0.222
-2.930 6.418 -4.399
La Co Rh I
8 3 1 4
direct
0.233 0.683 0.954 La
0.232 0.683 0.463 La
0.271 0.318 0.543 La
0.721 0.683 0.954 La
0.279 0.317 0.046 La
0.729 0.682 0.457 La
0.768 0.317 0.537 La
0.767 0.317 0.046 La
0.500 0.500 0.000 Co
0.500 0.500 0.500 Co
0.000 0.500 0.500 Co
0.000 0.500 0.000 Rh
0.500 0.000 0.000 I
0.500 0.000 0.500 I
0.000 0.000 0.000 I
0.000 0.000 0.500 I
```

Values from the calculation:
calculated density: 6.39 g/cm3



[10]
La8CoRh3I4 | GGA-PBE | relaxed

Geometry as POSCAR:
```
La8CoRh3I4
1.0
8.411 0.000 0.000
0.000 9.559 0.791
-4.206 -4.195 5.966
La Co Rh I
8 1 3 4
direct
0.224 0.684 0.961 La
0.225 0.685 0.450 La
0.271 0.313 0.542 La
0.737 0.684 0.961 La
0.263 0.316 0.039 La
0.729 0.687 0.458 La
0.775 0.315 0.550 La
0.776 0.316 0.039 La
0.000 0.500 0.000 Co
0.500 0.500 0.000 Rh
0.500 0.500 0.500 Rh
0.000 0.500 0.500 Rh
0.500 0.000 0.000 I
0.500 0.000 0.500 I
0.000 0.000 0.000 I
0.000 0.000 0.500 I
```

Values from the calculation:
calculated density: 6.50 g/cm3



[11]
La6Co2RhI3 | GGA-PBE | relaxed

Geometry as POSCAR:
```
La6Co2RhI3
1.0
7.214 -0.002 0.001
-3.607 6.248 0.001
-1.203 -2.082 8.252
La Co Rh I
6 2 1 3
direct
0.939 0.597 0.817 La
0.719 0.719 0.183 La
0.061 0.403 0.183 La
0.597 0.939 0.817 La
0.281 0.281 0.817 La
0.403 0.061 0.183 La
0.333 0.667 0.000 Co
0.667 0.333 0.000 Co
0.000 0.000 0.000 Rh
0.166 0.834 0.500 I
0.834 0.166 0.500 I
0.500 0.500 0.500 I
```

Values from the calculation:
calculated density: 6.41 g/cm3



[12]
La8CoRu3I3 | GGA-PBE | relaxed

Geometry as POSCAR:
```
La8CoRu3I3
1.0
-7.416 -3.819 -0.087
6.008 -2.671 5.140
-4.299 8.294 2.551
La Co Ru I
8 1 3 3
direct
0.272 0.544 0.316 La
0.728 0.456 0.684 La
0.777 0.554 0.323 La
0.223 0.446 0.677 La
0.776 0.046 0.323 La
0.224 0.954 0.677 La
0.270 0.046 0.322 La
0.730 0.954 0.678 La
0.000 0.000 0.500 Co
0.500 0.000 0.500 Ru
0.500 0.500 0.500 Ru
0.000 0.500 0.500 Ru
0.000 0.000 0.000 I
0.000 0.500 0.000 I
0.500 0.500 0.000 I
```

Values from the calculation:
calculated density: 6.08 g/cm3



[13]
La8CoRu3I4 | GGA-PBE | relaxed

Geometry as POSCAR:
```
La8CoRu3I4
1.0
-7.580 3.378 -1.204
-3.517 -5.353 7.124
6.515 4.909 1.960
La Co Ru I
8 1 3 4
direct
0.227 0.683 0.956 La
0.227 0.683 0.455 La
0.272 0.315 0.543 La
0.729 0.683 0.956 La
0.271 0.317 0.044 La
0.728 0.685 0.457 La
0.773 0.317 0.545 La
0.773 0.317 0.044 La
0.000 0.500 0.000 Co
0.500 0.500 0.000 Ru
0.500 0.500 0.500 Ru
0.000 0.500 0.500 Ru
0.500 0.000 0.000 I
0.500 0.000 0.500 I
0.000 0.000 0.000 I
0.000 0.000 0.500 I
```

Values from the calculation:
calculated density: 6.53 g/cm3



[14]
La8CoS3I4 | GGA-PBE | relaxed

Geometry as POSCAR:
```
La8CoS3I4
1.0
-2.829 4.045 -6.881
-8.136 1.356 4.142
6.913 2.797 4.013
La Co S I
8 1 3 4
direct
0.225 0.692 0.966 La
0.226 0.692 0.452 La
0.268 0.305 0.537 La
0.741 0.692 0.966 La
0.259 0.308 0.034 La
0.732 0.695 0.463 La
0.774 0.308 0.548 La
0.775 0.308 0.034 La
0.000 0.500 0.000 Co
0.500 0.500 0.000 S
0.500 0.500 0.500 S
0.000 0.500 0.500 S
0.500 0.000 0.000 I
0.500 0.000 0.500 I
0.000 0.000 0.000 I
0.000 0.000 0.500 I
```

Values from the calculation:
calculated density: 6.06 g/cm3



[15]
LaCoSbI2 | GGA-PBE | relaxed

Geometry as POSCAR:
```
LaCoSbI2
1.0
5.157 0.000 0.000
0.000 5.157 0.000
0.000 0.000 5.294
I Sb Co La
2 1 1 1
direct
0.000 0.500 0.000 I
0.500 0.000 0.000 I
0.000 0.000 0.500 Sb
0.000 0.000 0.000 Co
0.500 0.500 0.500 La
```

Values from the calculation:
distance to the lowest polymorph of the same formula: 0.000 eV per atom
calculated density: 6.76 g/cm3



[16]
LaCoSbI2 | GGA-PBE | relaxed

Geometry as POSCAR:
```
LaCoSbI2
1.0
6.185 0.000 0.000
0.000 6.185 0.000
0.000 0.000 6.472
I Sb Co La
2 1 1 1
direct
0.000 0.500 0.000 I
0.500 0.000 0.000 I
0.000 0.000 0.500 Sb
0.500 0.500 0.500 Co
0.000 0.000 0.000 La
```

Values from the calculation:
distance to the lowest polymorph of the same formula: 0.624 eV per atom
calculated density: 3.85 g/cm3



[17]
La8CoSe3I4 | GGA-PBE | relaxed

Geometry as POSCAR:
```
La8CoSe3I4
1.0
8.732 0.000 0.000
0.000 9.227 0.342
-4.366 -4.365 6.178
La Co Se I
8 1 3 4
direct
0.220 0.697 0.977 La
0.220 0.698 0.441 La
0.264 0.292 0.528 La
0.757 0.697 0.977 La
0.243 0.303 0.023 La
0.736 0.708 0.472 La
0.780 0.302 0.559 La
0.780 0.303 0.023 La
0.000 0.500 0.000 Co
0.500 0.500 0.000 Se
0.500 0.500 0.500 Se
0.000 0.500 0.500 Se
0.500 0.000 0.000 I
0.500 0.000 0.500 I
0.000 0.000 0.000 I
0.000 0.000 0.500 I
```

Values from the calculation:
calculated density: 6.22 g/cm3



[18]
La4CoSeI2 | GGA-PBE | relaxed

Geometry as POSCAR:
```
La4CoSeI2
1.0
-2.780 1.033 2.870
-4.478 -5.990 -2.180
5.065 -2.818 5.920
La Co Se I
4 1 1 2
direct
0.500 0.198 0.183 La
0.500 0.802 0.817 La
0.000 0.255 0.797 La
0.000 0.745 0.203 La
0.000 0.000 0.000 Co
0.500 0.500 0.000 Se
0.500 0.000 0.500 I
0.000 0.500 0.500 I
```

Values from the calculation:
calculated density: 6.17 g/cm3



[19]
La8Co3SiI4 | GGA-PBE | relaxed

Geometry as POSCAR:
```
La8Co3SiI4
1.0
8.288 0.000 0.000
0.000 9.456 0.607
-4.144 -4.312 6.177
La Co Si I
8 3 1 4
direct
0.251 0.686 0.965 La
0.236 0.677 0.472 La
0.260 0.314 0.521 La
0.714 0.686 0.965 La
0.286 0.314 0.035 La
0.740 0.686 0.479 La
0.764 0.323 0.528 La
0.749 0.314 0.035 La
0.500 0.500 0.000 Co
0.500 0.500 0.500 Co
0.000 0.500 0.500 Co
0.000 0.500 0.000 Si
0.500 0.000 0.000 I
0.500 0.000 0.500 I
0.000 0.000 0.000 I
0.000 0.000 0.500 I
```

Values from the calculation:
calculated density: 5.99 g/cm3



Number 1: uncorrected formation energy -0.90 eV per atom. Number 2: uncorrected formation energy -0.76 eV per atom. Number 3: uncorrected formation energy -0.83 eV per atom. Number 4: uncorrected formation energy -0.90 eV per atom. Number 5: uncorrected formation energy -0.87 eV per atom. Number 6: uncorrected formation energy -1.05 eV per atom. Number 7: uncorrected formation energy -1.09 eV per atom. Number 8: uncorrected formation energy -1.28 eV per atom. Number 9: uncorrected formation energy -0.78 eV per atom. Number 10: uncorrected formation energy -0.96 eV per atom. Number 11: uncorrected formation energy -0.81 eV per atom. Number 12: uncorrected formation energy -0.62 eV per atom. Number 13: uncorrected formation energy -0.75 eV per atom. Number 14: uncorrected formation energy -1.36 eV per atom. Number 15: uncorrected formation energy -0.25 eV per atom. Number 16: uncorrected formation energy 0.37 eV per atom. Number 17: uncorrected formation energy -1.30 eV per atom. Number 18: uncorrected formation energy -1.08 eV per atom. Number 19: uncorrected formation energy -0.72 eV per atom.